Pm2Er3PuS6 (GGA-PBE, optimized geometry); E = -85.98 eV per cell
1.0
8.604 -1.952 0.000
8.604 1.952 0.000
-1.924 0.000 7.701
Pm Er Pu S
2 3 1 6
direct
0.165 0.165 0.331
0.835 0.835 0.669
0.167 0.167 0.836
0.500 0.500 0.500
0.833 0.833 0.164
0.500 0.500 0.000
0.004 0.004 0.746
0.331 0.331 0.925
0.336 0.336 0.407
0.664 0.664 0.593
0.669 0.669 0.075
0.996 0.996 0.254



CaPmY4 (GGA-PBE, optimized geometry); energy of formation = 42 meV per atom
1.0
17.650 0.000 0.000
0.000 3.647 0.000
-0.758 0.000 6.299
Ca Pm Y
2 2 8
direct
0.000 0.000 0.000
0.500 0.500 0.000
0.000 0.500 0.500
0.500 0.000 0.500
0.168 0.000 0.393
0.172 0.500 0.887
0.328 0.000 0.113
0.332 0.500 0.607
0.668 0.500 0.393
0.672 0.000 0.887
0.828 0.500 0.113
0.832 0.000 0.607



V3IrPt2 (GGA-PBE, optimized geometry); energy of formation = -555 meV per atom
1.0
2.719 0.000 0.000
0.000 2.719 0.000
0.000 0.000 11.521
V Ir Pt
3 1 2
direct
0.000 0.000 0.000
0.000 0.000 0.340
0.000 0.000 0.660
0.500 0.500 0.500
0.500 0.500 0.167
0.500 0.500 0.833



Li6Cd2Ag (GGA-PBE, optimized geometry); energy of formation = -182 meV per atom
1.0
3.991 2.304 2.858
-3.991 2.304 2.858
0.000 -4.609 2.858
Li Cd Ag
6 2 1
direct
0.000 0.335 0.665
0.000 0.665 0.335
0.335 0.000 0.665
0.335 0.665 0.000
0.665 0.000 0.335
0.665 0.335 0.000
0.170 0.170 0.170
0.830 0.830 0.830
0.500 0.500 0.500



KPaCdO4 (GGA-PBE, optimized geometry); E = -96.83 eV per cell
1.0
-3.483 3.583 5.119
3.483 -3.583 5.119
3.483 3.583 -5.119
K Pa Cd O
2 2 2 8
direct
0.395 0.145 0.250
0.605 0.855 0.750
0.000 0.500 0.500
0.500 0.500 0.000
0.000 0.000 0.500
0.000 0.500 0.000
0.165 0.708 0.458
0.250 0.292 0.958
0.256 0.314 0.558
0.256 0.698 0.942
0.744 0.302 0.058
0.744 0.686 0.442
0.750 0.708 0.042
0.835 0.292 0.542



Ba2Hg8Bi (GGA-PBE, optimized geometry); energy of formation = -312 meV per atom
1.0
5.135 0.000 0.000
0.000 5.135 0.000
0.000 0.000 13.530
Ba Hg Bi
2 8 1
direct
0.000 0.000 0.189
0.000 0.000 0.811
0.000 0.500 0.000
0.000 0.500 0.361
0.000 0.500 0.639
0.500 0.000 0.000
0.500 0.000 0.361
0.500 0.000 0.639
0.500 0.500 0.206
0.500 0.500 0.794
0.000 0.000 0.500



Sc2CoSn (GGA-PBE, optimized geometry); energy of formation = -31 meV per atom
1.0
3.459 0.000 0.000
-1.730 2.996 0.000
0.000 0.000 27.014
Sc Co Sn
6 3 3
direct
0.000 0.000 0.112
0.000 0.000 0.888
0.333 0.667 0.555
0.333 0.667 0.779
0.667 0.333 0.221
0.667 0.333 0.445
0.000 0.000 0.500
0.333 0.667 0.167
0.667 0.333 0.833
0.000 0.000 0.000
0.333 0.667 0.667
0.667 0.333 0.333



CrTe3S (GGA-PBE, optimized geometry); E = -17.20 eV per cell
1.0
5.169 0.000 0.000
0.000 5.169 0.000
0.000 0.000 5.169
Cr Te S
1 3 1
direct
0.000 0.000 0.000
0.000 0.500 0.500
0.500 0.000 0.500
0.500 0.500 0.000
0.500 0.500 0.500



KTl3Ge (GGA-PBE, optimized geometry); energy of formation = 117 meV per atom
1.0
5.751 0.000 0.000
0.000 5.751 0.000
0.000 0.000 5.751
K Tl Ge
1 3 1
direct
0.000 0.000 0.000
0.000 0.500 0.500
0.500 0.000 0.500
0.500 0.500 0.000
0.500 0.500 0.500



LaTeRu2 (GGA-PBE, optimized geometry); E = -103.31 eV per cell
1.0
7.383 0.000 0.000
0.000 7.383 0.000
0.000 0.000 6.488
La Te Ru
4 4 8
direct
0.000 0.000 0.000
0.000 0.500 0.250
0.500 0.000 0.750
0.500 0.500 0.500
0.000 0.000 0.500
0.000 0.500 0.750
0.500 0.000 0.250
0.500 0.500 0.000
0.209 0.250 0.625
0.250 0.709 0.875
0.250 0.791 0.375
0.291 0.250 0.125
0.709 0.750 0.125
0.750 0.209 0.375
0.750 0.291 0.875
0.791 0.750 0.625



HfGaSiH2 (GGA-PBE, optimized geometry); E = -23.38 eV per cell
1.0
3.659 0.000 0.000
0.000 3.659 0.000
0.000 0.000 5.662
Hf Ga Si H
1 1 1 2
direct
0.000 0.000 0.000
0.500 0.500 0.500
0.500 0.500 0.000
0.000 0.500 0.500
0.500 0.000 0.500



Ho5Tm2Ru5 (GGA-PBE, optimized geometry); energy of formation = -261 meV per atom
1.0
4.166 -2.405 0.000
4.166 2.405 0.000
-2.763 0.000 13.028
Ho Tm Ru
5 2 5
direct
0.000 0.000 0.000
0.191 0.191 0.572
0.284 0.284 0.853
0.716 0.716 0.147
0.809 0.809 0.428
0.428 0.428 0.284
0.572 0.572 0.716
0.114 0.114 0.343
0.355 0.355 0.066
0.500 0.500 0.500
0.645 0.645 0.934
0.886 0.886 0.657



FeTcAu2 (GGA-PBE, optimized geometry); energy of formation = 364 meV per atom
1.0
2.920 0.000 0.000
0.000 4.672 0.000
0.000 0.000 9.343
Fe Tc Au
2 2 4
direct
0.000 0.000 0.000
0.500 0.500 0.500
0.000 0.500 0.703
0.500 0.000 0.203
0.000 0.000 0.478
0.000 0.500 0.258
0.500 0.000 0.758
0.500 0.500 0.978



Tb6Y2ErSc (GGA-PBE, optimized geometry); energy of formation = 131 meV per atom
1.0
4.544 -7.447 0.000
4.544 7.447 0.000
-1.105 0.000 9.301
Tb Y Er Sc
12 4 2 2
direct
0.004 0.564 0.191
0.125 0.757 0.555
0.243 0.875 0.945
0.291 0.510 0.385
0.436 0.996 0.309
0.490 0.709 0.115
0.510 0.291 0.885
0.564 0.004 0.691
0.709 0.490 0.615
0.757 0.125 0.055
0.875 0.243 0.445
0.996 0.436 0.809
0.202 0.303 0.047
0.303 0.202 0.547
0.697 0.798 0.453
0.798 0.697 0.953
0.024 0.976 0.250
0.976 0.024 0.750
0.414 0.586 0.750
0.586 0.414 0.250



Tb5Er3Tm3 (GGA-PBE, optimized geometry); energy of formation = 830 meV per atom
1.0
9.607 0.000 0.000
-4.803 8.320 0.000
0.000 0.000 5.419
Tb Er Tm
5 3 3
direct
0.000 0.738 0.000
0.262 0.262 0.000
0.333 0.667 0.000
0.667 0.333 0.000
0.738 0.000 0.000
0.000 0.549 0.500
0.451 0.451 0.500
0.549 0.000 0.500
0.000 0.373 0.000
0.373 0.000 0.000
0.627 0.627 0.000



YAgH (GGA-PBE, optimized geometry); E = -221.05 eV per cell
1.0
5.398 -7.144 0.000
5.398 7.144 0.000
-2.353 0.000 10.792
Y Ag H
16 16 16
direct
0.000 0.000 0.000
0.010 0.261 0.759
0.060 0.586 0.591
0.080 0.389 0.102
0.133 0.678 0.912
0.261 0.010 0.759
0.322 0.322 0.569
0.333 0.677 0.388
0.389 0.080 0.102
0.412 0.412 0.925
0.469 0.721 0.730
0.586 0.060 0.591
0.677 0.333 0.388
0.678 0.133 0.912
0.721 0.469 0.730
0.745 0.745 0.482
0.047 0.360 0.366
0.077 0.077 0.271
0.102 0.896 0.480
0.140 0.786 0.177
0.341 0.341 0.289
0.360 0.047 0.366
0.482 0.781 0.042
0.564 0.564 0.213
0.599 0.932 0.304
0.726 0.726 0.931
0.781 0.482 0.042
0.786 0.140 0.177
0.816 0.816 0.190
0.876 0.876 0.739
0.896 0.102 0.480
0.932 0.599 0.304
0.103 0.362 0.608
0.164 0.438 0.925
0.205 0.941 0.943
0.233 0.750 0.748
0.254 0.254 0.754
0.302 0.578 0.565
0.362 0.103 0.608
0.438 0.164 0.925
0.474 0.474 0.738
0.497 0.977 0.754
0.529 0.795 0.550
0.578 0.302 0.565
0.750 0.233 0.748
0.795 0.529 0.550
0.941 0.205 0.943
0.977 0.497 0.754



K3TaCr2Te6 (GGA-PBE, optimized geometry); E = -59.22 eV per cell
1.0
3.647 -6.320 0.000
3.647 6.320 0.000
-2.442 0.000 7.999
K Ta Cr Te
3 1 2 6
direct
0.000 0.000 0.000
0.335 0.665 0.000
0.665 0.335 0.000
0.500 0.500 0.500
0.167 0.833 0.500
0.833 0.167 0.500
0.103 0.439 0.317
0.225 0.225 0.683
0.439 0.103 0.317
0.561 0.897 0.683
0.775 0.775 0.317
0.897 0.561 0.683



RbCd3Pt (GGA-PBE, optimized geometry); energy of formation = 1207 meV per atom
1.0
6.755 0.000 0.000
0.000 6.755 0.000
0.000 0.000 6.755
Rb Cd Pt
1 3 1
direct
0.000 0.000 0.000
0.000 0.000 0.500
0.000 0.500 0.000
0.500 0.000 0.000
0.500 0.500 0.500



Dy2Y3UN6 (GGA-PBE, optimized geometry); E = -109.92 eV per cell
1.0
2.998 -5.191 0.000
2.998 5.191 0.000
-1.995 0.000 5.650
Dy Y U N
2 3 1 6
direct
0.166 0.834 0.000
0.834 0.166 0.000
0.000 0.000 0.500
0.332 0.668 0.500
0.668 0.332 0.500
0.500 0.500 0.000
0.105 0.420 0.760
0.265 0.265 0.236
0.420 0.105 0.760
0.580 0.895 0.240
0.735 0.735 0.764
0.895 0.580 0.240



La3Sn3Ir2 (GGA-PBE, optimized geometry); energy of formation = -773 meV per atom
1.0
2.328 -5.623 0.000
2.328 5.623 0.000
0.000 0.000 15.826
La Sn Ir
6 6 4
direct
0.072 0.928 0.610
0.072 0.928 0.890
0.350 0.650 0.750
0.650 0.350 0.250
0.928 0.072 0.110
0.928 0.072 0.390
0.352 0.648 0.250
0.359 0.641 0.534
0.359 0.641 0.966
0.641 0.359 0.034
0.641 0.359 0.466
0.648 0.352 0.750
0.204 0.796 0.109
0.204 0.796 0.391
0.796 0.204 0.609
0.796 0.204 0.891